(1)
Below is a relaxed structure of CsBPPt2, with properties calculated at the PBE level.

Output
- Final energy: -2.2224 eV per atom
- Formation energy: 2.7821 eV/atom
- ρ: 7.169 g cm⁻³

```
data_CsBPPt2
_cell_length_a 5.213
_cell_length_b 5.213
_cell_length_c 4.815
_cell_angle_alpha 90.00
_cell_angle_beta 90.00
_cell_angle_gamma 90.00
_space_group_name_H-M_alt 'P 1'
_space_group_IT_number 1
loop_
_space_group_symop_operation_xyz
'x,y,z'
loop_
_atom_site_label
_atom_site_fract_x
_atom_site_fract_y
_atom_site_fract_z
Cs1 0.000 0.000 0.000
B1 0.000 0.000 0.500
P1 0.500 0.500 0.500
Pt1 0.000 0.500 0.000
Pt2 0.500 0.000 0.000
```

(2)
Below is a relaxed structure of CsBPS2, with properties calculated at the PBE level.

Output
- Final energy: -3.6460 eV per atom
- ρ: 3.919 g cm⁻³
- Uncorrected formation energy: 3.0 eV per formula unit

```
data_CsBPS2
_cell_length_a 4.974
_cell_length_b 4.974
_cell_length_c 4.091
_cell_angle_alpha 90.00
_cell_angle_beta 90.00
_cell_angle_gamma 90.00
_space_group_name_H-M_alt 'P 1'
_space_group_IT_number 1
loop_
_space_group_symop_operation_xyz
'x,y,z'
loop_
_atom_site_label
_atom_site_fract_x
_atom_site_fract_y
_atom_site_fract_z
Cs1 0.000 0.000 0.000
B1 0.500 0.500 0.500
P1 0.500 0.500 0.000
S1 0.000 0.500 0.500
S2 0.500 0.000 0.500
```

(3)
Below is a relaxed structure of CsB2P2S6, with properties calculated at the PBE level.

Output
- Final energy: -4.7554 eV per atom
- ρ: 2.203 g cm⁻³
- Uncorrected formation energy: -2.5 eV per formula unit

```
data_CsB2P2S6
_cell_length_a 7.738
_cell_length_b 7.738
_cell_length_c 8.409
_cell_angle_alpha 118.67
_cell_angle_beta 118.67
_cell_angle_gamma 45.80
_space_group_name_H-M_alt 'P 1'
_space_group_IT_number 1
loop_
_space_group_symop_operation_xyz
'x,y,z'
loop_
_atom_site_label
_atom_site_fract_x
_atom_site_fract_y
_atom_site_fract_z
Cs1 0.000 0.000 0.000
B1 0.470 0.470 0.119
B2 0.530 0.530 0.881
P1 0.026 0.026 0.395
P2 0.974 0.974 0.605
S1 0.191 0.643 0.237
S2 0.357 0.809 0.763
S3 0.388 0.388 0.849
S4 0.612 0.612 0.151
S5 0.643 0.191 0.237
S6 0.809 0.357 0.763
```

(4)
Below is a relaxed structure of CsBP2S, with properties calculated at the PBE level.

Output
- Final energy: -1.8374 eV per atom
- ρ: 2.046 g cm⁻³
- Uncorrected formation energy: 13.3 eV per formula unit

```
data_CsBP2S
_cell_length_a 5.931
_cell_length_b 5.931
_cell_length_c 5.485
_cell_angle_alpha 90.00
_cell_angle_beta 90.00
_cell_angle_gamma 90.00
_space_group_name_H-M_alt 'P 1'
_space_group_IT_number 1
loop_
_space_group_symop_operation_xyz
'x,y,z'
loop_
_atom_site_label
_atom_site_fract_x
_atom_site_fract_y
_atom_site_fract_z
Cs1 0.000 0.000 0.000
B1 0.500 0.500 0.500
P1 0.000 0.500 0.000
P2 0.500 0.000 0.000
S1 0.000 0.000 0.500
```